# Ce2SmZn PBE relaxed
# **Relative energy among the computed polymorphs**: 7 meV per atom
# **D(E_F)**: 2.6240 states/eV per atom
# **Calculated formation energy**: -3 meV/atom
data_Ce2SmZn
_chemical_formula_sum 'Ce2 Sm1 Zn1'
_space_group_name_H-M_alt 'P 4/m m m'
_space_group_IT_number 123
_space_group_name_Hall '-P 4 2'
_cell_length_a 4.522
_cell_length_b 4.522
_cell_length_c 5.052
_cell_angle_alpha 90.00
_cell_angle_beta 90.00
_cell_angle_gamma 90.00
loop_
_atom_site_label
_atom_site_type_symbol
_atom_site_fract_x
_atom_site_fract_y
_atom_site_fract_z
_atom_site_occupancy
Ce1 Ce 0.000 0.500 0.000 1
Sm1 Sm 0.000 0.000 0.500 1
Zn1 Zn 0.500 0.500 0.500 1